First-principles (PBE+U) data for a relaxed Y2FeF8 crystal, as listed in Alexandria via LeMat-Bulk.

a b c (Å): 3.5966 5.3772 7.6229
angles (deg): 109.04 103.65 90.00
Site moments in Bohr magnetons follow the coordinates.
Fractional positions:
Y  0.1742  0.6832  0.3485  0.00
Y  0.8258  0.3168  0.6515  0.00
Fe  0.5000  0.0000  0.0000  3.82
F  0.5922  0.4274  0.1845  0.01
F  0.3206  0.0398  0.6413  0.00
F  0.2210  0.3282  0.4420  0.00
F  0.0438  0.8371  0.0876  0.03
F  0.7790  0.6718  0.5580  0.00
F  0.6794  0.9602  0.3587  0.00
F  0.4078  0.5726  0.8155  0.01
F  0.9562  0.1629  0.9124  0.03

The calculated total energy comes out at -6.64 eV per atom. The crystal system is monoclinic.